KZnW: relaxed, GGA-PBEsol.

Values from the calculation:
Distance to the lowest polymorph of the same formula in meV per atom: 98.5

a = 2.5922 Å, b = 4.3098 Å, c = 12.4311 Å
α = 90.00°, β = 90.00°, γ = 90.00°
Last column: nearest neighbours and their distance in Å.
Space group Imm2 (No. 44)
Asymmetric unit:
K: 0.0000 0.0000 0.0000 [2 per cell]  2 K 2.59
Zn: 0.0000 0.0000 0.2859 [2 per cell]  2 Zn 2.59, 4 W 2.64
W: 0.0000 0.0000 0.7224 [2 per cell]  2 W 2.59, 4 Zn 2.64



CdTc2Hg: relaxed, GGA-PBEsol.

Values from the calculation:
Distance to the lowest polymorph of the same formula in meV per atom: 637.6

a = 6.3893 Å, b = 6.3893 Å, c = 6.3893 Å
α = 90.00°, β = 90.00°, γ = 90.00°
Last column: nearest neighbours and their distance in Å.
Space group Fm-3m (No. 225)
Asymmetric unit:
Cd: 0.0000 0.0000 0.0000 [4 per cell]  8 Tc 2.77
Tc: 0.2500 0.2500 0.2500 [8 per cell]  4 Hg 2.77, 4 Cd 2.77
Hg: 0.0000 0.0000 0.5000 [4 per cell]  8 Tc 2.77



LaYHg2: relaxed, GGA-PBEsol.

a = 3.7498 Å, b = 3.7498 Å, c = 27.9022 Å
α = 90.00°, β = 90.00°, γ = 120.00°
Last column: nearest neighbours and their distance in Å.
Space group R-3m (No. 166, hexagonal axes)
Asymmetric unit:
La: 0.0000 0.0000 0.0000 [3 per cell]  6 Hg 3.28
Y: 0.0000 0.0000 0.5000 [3 per cell]  6 Hg 3.07
Hg: 0.0000 0.0000 0.2449 [6 per cell]  3 Y 3.07, 3 La 3.28



K2SrTi10O22: relaxed, GGA-PBEsol.

Values from the calculation:
Formation energy without anion corrections in eV/f.u.: -105.10

a = 15.3286 Å, b = 3.7795 Å, c = 15.5001 Å
α = 90.00°, β = 102.88°, γ = 90.00°
Last column: nearest neighbours and their distance in Å.
Space group Cm (No. 8)
Asymmetric unit:
K: 0.0000 0.0000 0.0000 [2 per cell]  4 O 2.63-2.72
K: 0.0713 0.0000 0.6999 [2 per cell]  6 O 2.65-2.88
Sr: 0.4572 0.5000 0.3731 [2 per cell]  8 O 2.59-2.85
Ti: 0.1139 0.5000 0.2963 [2 per cell]  4 O 1.83-1.93
Ti: 0.1542 0.5000 0.9007 [2 per cell]  5 O 1.86-1.96
Ti: 0.1779 0.5000 0.5057 [2 per cell]  4 O 1.81-1.97
Ti: 0.2164 0.5000 0.1078 [2 per cell]  4 O 1.80-1.96
Ti: 0.2581 0.5000 0.7062 [2 per cell]  4 O 1.76-1.95
Ti: 0.2691 0.0000 0.3810 [2 per cell]  4 O 1.76-1.95
Ti: 0.3110 0.0000 0.9774 [2 per cell]  4 O 1.78-1.95
Ti: 0.3477 0.0000 0.5807 [2 per cell]  4 O 1.78-1.96
Ti: 0.3767 0.0000 0.1789 [2 per cell]  4 O 1.84-1.93
Ti: 0.4160 0.0000 0.7854 [2 per cell]  5 O 1.83-2.00
O: 0.0352 0.5000 0.8399 [2 per cell]  2 Ti 1.83-1.86
O: 0.0731 0.5000 0.4242 [2 per cell]  1 Ti 1.81
O: 0.1216 0.5000 0.0139 [2 per cell]  2 Ti 1.81-1.93
O: 0.1356 0.0000 0.3175 [2 per cell]  3 Ti 1.93-2.06
O: 0.1511 0.5000 0.6136 [2 per cell]  2 Ti 1.81-1.92
O: 0.1568 0.5000 0.1954 [2 per cell]  2 Ti 1.80-1.83
O: 0.1807 0.0000 0.9100 [2 per cell]  3 Ti 1.93-2.04
O: 0.2006 0.5000 0.7926 [2 per cell]  2 Ti 1.76-1.96
O: 0.2132 0.0000 0.5004 [2 per cell]  4 Ti 1.97-2.21
O: 0.2402 0.5000 0.3888 [2 per cell]  3 Ti 1.95-2.14
O: 0.2490 0.0000 0.1012 [2 per cell]  3 Ti 1.96-2.06
O: 0.2832 0.5000 0.9874 [2 per cell]  3 Ti 1.95-2.13
O: 0.2853 0.0000 0.6955 [2 per cell]  3 Ti 1.95-2.17
O: 0.3145 0.5000 0.5839 [2 per cell]  3 Ti 1.96-2.17
O: 0.3326 0.0000 0.2995 [2 per cell]  1 Ti 1.76
O: 0.3505 0.5000 0.1812 [2 per cell]  3 Ti 1.93-2.12
O: 0.3722 0.0000 0.8926 [2 per cell]  2 Ti 1.78-1.93
O: 0.3795 0.0000 0.4715 [2 per cell]  2 Ti 1.86-1.94
O: 0.3888 0.5000 0.7725 [2 per cell]  3 Ti 1.94-2.04
O: 0.4115 0.0000 0.0731 [2 per cell]  2 Ti 1.84-1.89
O: 0.4470 0.0000 0.6665 [2 per cell]  1 Ti 1.78
O: 0.4915 0.0000 0.2563 [2 per cell]  2 Ti 1.84-1.90



ZnInSe: relaxed, GGA-PBEsol.

Values from the calculation:
Distance to the lowest polymorph of the same formula in meV per atom: 207.9
Formation energy without anion corrections in eV/f.u.: -0.19

a = 3.8833 Å, b = 5.9561 Å, c = 11.4212 Å
α = 90.00°, β = 90.00°, γ = 90.00°
Last column: nearest neighbours and their distance in Å.
Space group Fmm2 (No. 42)
Asymmetric unit:
Zn: 0.0000 0.0000 0.0000 [4 per cell]  2 Se 2.45
In: 0.0000 0.0000 0.6796 [4 per cell]  2 Zn 2.82, 2 Se 2.91
Se: 0.0000 0.0000 0.3688 [4 per cell]  2 Zn 2.45



Zr2BeAs: relaxed, GGA-PBEsol.

Values from the calculation:
Distance to the lowest polymorph of the same formula in meV per atom: 0.0

a = 3.6225 Å, b = 3.7260 Å, c = 9.8626 Å
α = 90.00°, β = 90.00°, γ = 90.00°
Last column: nearest neighbours and their distance in Å.
Space group Amm2 (No. 38)
Asymmetric unit:
Zr: 0.0000 0.0000 0.0000 [2 per cell]  3 Be 2.68-2.92, 4 As 2.73
Zr: 0.5000 0.0000 0.2989 [2 per cell]  4 Be 2.69, 3 As 2.81-2.82
Be: 0.0000 0.0000 0.7281 [2 per cell]  2 As 2.30
As: 0.5000 0.0000 0.5850 [2 per cell]  2 Be 2.30



Zn7Sb8Ru9: relaxed, GGA-PBEsol.

Values from the calculation:
Formation energy without anion corrections in eV/f.u.: -4.37

a = 11.8275 Å, b = 11.8275 Å, c = 11.8275 Å
α = 90.00°, β = 90.00°, γ = 90.00°
Last column: nearest neighbours and their distance in Å.
Space group Fm-3m (No. 225)
Asymmetric unit:
Zn: 0.0000 0.0000 0.0000 [4 per cell]  8 Ru 2.53
Zn: 0.0000 0.2500 0.2500 [24 per cell]  4 Ru 2.57
Sb: 0.0000 0.0000 0.2749 [24 per cell]  5 Ru 2.66-2.73, 4 Zn 2.97
Sb: 0.2500 0.2500 0.2500 [8 per cell]  4 Ru 2.59
Ru: 0.0000 0.0000 0.5000 [4 per cell]  6 Sb 2.66
Ru: 0.1234 0.1234 0.1234 [32 per cell]  4 Zn 2.53-2.57, 4 Sb 2.59-2.73



Li2AlSi: relaxed, GGA-PBEsol.

Values from the calculation:
Formation energy without anion corrections in eV/f.u.: -0.64

a = 2.8569 Å, b = 4.2860 Å, c = 4.8583 Å
α = 90.00°, β = 90.00°, γ = 90.00°
Last column: nearest neighbours and their distance in Å.
Space group Pmm2 (No. 25)
Asymmetric unit:
Li: 0.0000 0.0000 0.0000 [1 per cell]  4 Li 2.62-2.86, 4 Si 2.73, 4 Al 2.76-2.87
Li: 0.0000 0.5000 0.3090 [1 per cell]  4 Li 2.62-2.86, 4 Al 2.76, 4 Si 2.80-2.83
Al: 0.5000 0.0000 0.5127 [1 per cell]  2 Si 2.59, 8 Li 2.76-2.87, 2 Al 2.86
Si: 0.5000 0.5000 0.8124 [1 per cell]  2 Al 2.59, 8 Li 2.73-2.83, 2 Si 2.86



InBrO2: relaxed, GGA-PBEsol.

Values from the calculation:
Distance to the lowest polymorph of the same formula in meV per atom: 0.0
Formation energy without anion corrections in eV/f.u.: -3.58

a = 3.4315 Å, b = 3.4315 Å, c = 18.4630 Å
α = 90.00°, β = 90.00°, γ = 120.00°
Last column: nearest neighbours and their distance in Å.
Space group R-3m (No. 166, hexagonal axes)
Asymmetric unit:
In: 0.0000 0.0000 0.0000 [3 per cell]  6 O 2.22
Br: 0.0000 0.0000 0.5000 [3 per cell]  2 O 2.08
O: 0.0000 0.0000 0.3872 [6 per cell]  1 Br 2.08, 3 In 2.22



NiPt2Rh: relaxed, GGA-PBEsol.

a = 8.8886 Å, b = 2.6954 Å, c = 4.6244 Å
α = 90.00°, β = 100.64°, γ = 90.00°
Last column: nearest neighbours and their distance in Å.
Space group Cm (No. 8)
Asymmetric unit:
Ni: 0.0000 0.0000 0.0000 [2 per cell]  3 Rh 2.62-2.74, 7 Pt 2.64-2.70, 2 Ni 2.70
Pt: 0.0038 0.5000 0.5084 [2 per cell]  3 Rh 2.64-2.69, 4 Ni 2.65-2.70, 5 Pt 2.68-2.74
Pt: 0.2470 0.5000 0.2402 [2 per cell]  3 Ni 2.64-2.69, 4 Rh 2.64-2.71, 5 Pt 2.68-2.74
Rh: 0.2573 0.0000 0.7528 [2 per cell]  3 Ni 2.62-2.74, 7 Pt 2.64-2.71, 2 Rh 2.70



LiScOs2: relaxed, GGA-PBEsol.

Values from the calculation:
Distance to the lowest polymorph of the same formula in meV per atom: 0.0

a = 5.3334 Å, b = 8.8451 Å, c = 2.7270 Å
α = 90.00°, β = 115.34°, γ = 90.00°
Last column: nearest neighbours and their distance in Å.
Space group C2/m (No. 12)
Asymmetric unit:
Li: 0.0000 0.0000 0.0000 [2 per cell]  4 Os 2.64, 4 Sc 2.67-2.89, 2 Li 2.73
Sc: 0.0000 0.5000 0.0000 [2 per cell]  4 Os 2.64, 4 Li 2.67-2.89, 2 Sc 2.73
Os: 0.2500 0.2500 0.5000 [4 per cell]  2 Li 2.64, 2 Sc 2.64, 6 Os 2.67-2.89



BaRu3N: relaxed, GGA-PBEsol.

Values from the calculation:
Distance to the lowest polymorph of the same formula in meV per atom: 0.0
Formation energy without anion corrections in eV/f.u.: 3.15

a = 4.2329 Å, b = 4.2329 Å, c = 4.2329 Å
α = 90.00°, β = 90.00°, γ = 90.00°
Last column: nearest neighbours and their distance in Å.
Space group Pm-3m (No. 221)
Asymmetric unit:
Ba: 0.0000 0.0000 0.0000 [1 per cell]  12 Ru 2.99
Ru: 0.0000 0.5000 0.5000 [3 per cell]  2 N 2.12
N: 0.5000 0.5000 0.5000 [1 per cell]  6 Ru 2.12



CrRu3: relaxed, GGA-PBEsol.

a = 4.3507 Å, b = 4.3507 Å, c = 4.3507 Å
α = 90.00°, β = 90.00°, γ = 90.00°
Last column: nearest neighbours and their distance in Å.
Space group Pm-3m (No. 221)
Asymmetric unit:
Cr: 0.0000 0.0000 0.0000 [1 per cell]  6 Ru 2.18
Ru: 0.0000 0.0000 0.5000 [3 per cell]  2 Cr 2.18



ScSiPt: relaxed, GGA-PBEsol.

Values from the calculation:
Formation energy without anion corrections in eV/f.u.: -3.74

a = 6.5220 Å, b = 4.1246 Å, c = 7.2384 Å
α = 90.00°, β = 90.00°, γ = 90.00°
Last column: nearest neighbours and their distance in Å.
Space group Pnma (No. 62)
Asymmetric unit:
Sc: 0.0013 0.2500 0.2005 [4 per cell]  6 Pt 2.84-3.07, 6 Si 2.85-3.10
Si: 0.1932 0.2500 0.5922 [4 per cell]  4 Pt 2.43-2.56
Pt: 0.1993 0.7500 0.4158 [4 per cell]  4 Si 2.43-2.56



TeRuN3: relaxed, GGA-PBEsol.

Values from the calculation:
Formation energy without anion corrections in eV/f.u.: 5.65

a = 3.8879 Å, b = 3.8879 Å, c = 3.8879 Å
α = 90.00°, β = 90.00°, γ = 90.00°
Last column: nearest neighbours and their distance in Å.
Space group Pm-3m (No. 221)
Asymmetric unit:
Te: 0.0000 0.0000 0.0000 [1 per cell]  12 N 2.75
Ru: 0.5000 0.5000 0.5000 [1 per cell]  6 N 1.94
N: 0.0000 0.5000 0.5000 [3 per cell]  2 Ru 1.94



Gd3GaC: relaxed, GGA-PBEsol.

a = 4.8428 Å, b = 4.8428 Å, c = 4.8428 Å
α = 90.00°, β = 90.00°, γ = 90.00°
Last column: nearest neighbours and their distance in Å.
Space group Pm-3m (No. 221)
Asymmetric unit:
Gd: 0.0000 0.0000 0.5000 [3 per cell]  2 C 2.42
Ga: 0.5000 0.5000 0.5000 [1 per cell]  12 Gd 3.42
C: 0.0000 0.0000 0.0000 [1 per cell]  6 Gd 2.42



Mg4Pt: relaxed, GGA-PBEsol.

a = 6.4841 Å, b = 6.4841 Å, c = 4.3232 Å
α = 90.00°, β = 90.00°, γ = 90.00°
Last column: nearest neighbours and their distance in Å.
Space group I4/m (No. 87)
Asymmetric unit:
Mg: 0.1133 0.7089 0.0000 [8 per cell]  9 Mg 2.85-3.08, 3 Pt 2.85-2.96
Pt: 0.0000 0.0000 0.5000 [2 per cell]  12 Mg 2.85-2.96



BaNiAg: relaxed, GGA-PBEsol.

a = 6.7670 Å, b = 6.7670 Å, c = 6.7670 Å
α = 90.00°, β = 90.00°, γ = 90.00°
Last column: nearest neighbours and their distance in Å.
Space group F-43m (No. 216)
Asymmetric unit:
Ba: 0.0000 0.0000 0.0000 [4 per cell]  4 Ni 2.93
Ni: 0.2500 0.2500 0.7500 [4 per cell]  4 Ba 2.93, 4 Ag 2.93
Ag: 0.0000 0.0000 0.5000 [4 per cell]  4 Ni 2.93



CaTc2As2: relaxed, GGA-PBEsol.

a = 4.2130 Å, b = 4.2130 Å, c = 10.1936 Å
α = 90.00°, β = 90.00°, γ = 90.00°
Last column: nearest neighbours and their distance in Å.
Space group I4/mmm (No. 139)
Asymmetric unit:
Ca: 0.0000 0.0000 0.0000 [2 per cell]  8 As 3.26, 8 Tc 3.31
Tc: 0.0000 0.5000 0.2500 [4 per cell]  4 As 2.43
As: 0.0000 0.0000 0.3690 [4 per cell]  4 Tc 2.43, 1 As 2.67



CoMo2: relaxed, GGA-PBEsol.

a = 2.6159 Å, b = 2.6159 Å, c = 11.7896 Å
α = 90.00°, β = 90.00°, γ = 90.00°
Last column: nearest neighbours and their distance in Å.
Space group I4/mmm (No. 139)
Asymmetric unit:
Co: 0.0000 0.0000 0.0000 [2 per cell]  8 Mo 2.58, 4 Co 2.62
Mo: 0.0000 0.0000 0.3471 [4 per cell]  4 Co 2.58, 4 Mo 2.62



no.,E (eV/atom)
1,-4.47
2,-5.30
3,-3.70
4,-8.80
5,-2.87
6,-7.64
7,-5.98
8,-3.60
9,-4.73
10,-7.08
11,-8.18
12,-7.61
13,-7.97
14,-7.68
15,-6.73
16,-11.69
17,-3.13
18,-3.54
19,-7.44
20,-10.38